Entry 1:
# Pr2GaGe4Pt3 (PBE, optimized geometry)
# - ΔE_f (eV per atom) = -0.849
data_Pr2GaGe4Pt3
_symmetry_space_group_name_H-M 'P -4 m 2'
_symmetry_Int_Tables_number 115
_cell_length_a 4.363
_cell_length_b 4.363
_cell_length_c 10.375
_cell_angle_alpha 90.00
_cell_angle_beta 90.00
_cell_angle_gamma 90.00
loop_
_symmetry_equiv_pos_as_xyz
'x,y,z'
'y,-x,-z'
'-x,-y,z'
'-y,x,-z'
'-x,y,z'
'-y,-x,-z'
'x,-y,z'
'y,x,-z'
loop_
_atom_site_label
_atom_site_type_symbol
_atom_site_fract_x
_atom_site_fract_y
_atom_site_fract_z
Pr1 Pr 0.000 0.500 0.248
Ga1 Ga 0.000 0.000 0.500
Ge1 Ge 0.000 0.000 0.000
Ge2 Ge 0.000 0.500 0.639
Ge3 Ge 0.500 0.500 0.000
Pt1 Pt 0.000 0.500 0.877
Pt2 Pt 0.500 0.500 0.500

---

Entry 2:
# Pr2GaGe3Pt4 (PBE, optimized geometry)
# - ΔE_f (eV per atom) = -0.961
data_Pr2GaGe3Pt4
_symmetry_space_group_name_H-M 'P -4 m 2'
_symmetry_Int_Tables_number 115
_cell_length_a 4.395
_cell_length_b 4.395
_cell_length_c 10.110
_cell_angle_alpha 90.00
_cell_angle_beta 90.00
_cell_angle_gamma 90.00
loop_
_symmetry_equiv_pos_as_xyz
'x,y,z'
'y,-x,-z'
'-x,-y,z'
'-y,x,-z'
'-x,y,z'
'-y,-x,-z'
'x,-y,z'
'y,x,-z'
loop_
_atom_site_label
_atom_site_type_symbol
_atom_site_fract_x
_atom_site_fract_y
_atom_site_fract_z
Pr1 Pr 0.000 0.500 0.246
Ga1 Ga 0.500 0.500 0.000
Ge1 Ge 0.000 0.000 0.000
Ge2 Ge 0.000 0.500 0.628
Pt1 Pt 0.000 0.000 0.500
Pt2 Pt 0.000 0.500 0.872
Pt3 Pt 0.500 0.500 0.500

---

Entry 3:
# Pr3Ga2GePt9 (PBE, optimized geometry)
# - ΔE_f (eV per atom) = -0.595
data_Pr3Ga2GePt9
_symmetry_space_group_name_H-M 'P -3 m 1'
_symmetry_Int_Tables_number 164
_symmetry_space_group_name_Hall '-P 3 2"'
_cell_length_a 6.6098
_cell_length_b 6.6098
_cell_length_c 8.7569
_cell_angle_alpha 90.00
_cell_angle_beta 90.00
_cell_angle_gamma 120.00
loop_
_atom_site_label
_atom_site_type_symbol
_atom_site_fract_x
_atom_site_fract_y
_atom_site_fract_z
Pr1 Pr 0.0000 0.0000 0.0000
Pr2 Pr 0.3333 0.6667 0.7173
Ga1 Ga 0.3333 0.6667 0.1892
Ge1 Ge 0.0000 0.0000 0.5000
Pt1 Pt 0.0000 0.5000 0.0000
Pt2 Pt 0.1392 0.2785 0.2847

---

Entry 4:
# PrPu2Ga2Ge2 (PBE, optimized geometry)
# - ΔE_f (eV per atom) = -0.308
data_PrPu2Ga2Ge2
_symmetry_space_group_name_H-M 'R -3 m'
_symmetry_Int_Tables_number 166
_symmetry_space_group_name_Hall '-R 3 2"'
_cell_length_a 4.4809
_cell_length_b 4.4809
_cell_length_c 27.2950
_cell_angle_alpha 90.00
_cell_angle_beta 90.00
_cell_angle_gamma 120.00
loop_
_atom_site_label
_atom_site_type_symbol
_atom_site_fract_x
_atom_site_fract_y
_atom_site_fract_z
Pr1 Pr 0.0000 0.0000 0.0000
Pu1 Pu 0.0000 0.0000 0.1392
Ga1 Ga 0.0000 0.0000 0.4177
Ge1 Ge 0.0000 0.0000 0.2640

---

Entry 5:
# PrPuGaGe (PBE, optimized geometry)
# - ΔE_f (eV per atom) = -0.411
data_PrPuGaGe
_symmetry_space_group_name_H-M 'F -4 3 m'
_symmetry_Int_Tables_number 216
_symmetry_space_group_name_Hall 'F -4 2 3'
_cell_length_a 7.295
_cell_length_b 7.295
_cell_length_c 7.295
_cell_angle_alpha 90.00
_cell_angle_beta 90.00
_cell_angle_gamma 90.00
loop_
_atom_site_label
_atom_site_type_symbol
_atom_site_fract_x
_atom_site_fract_y
_atom_site_fract_z
Pr1 Pr 0.000 0.000 0.000
Pu1 Pu 0.000 0.000 0.500
Ga1 Ga 0.250 0.250 0.750
Ge1 Ge 0.250 0.250 0.250

---

Entry 6:
# Pr2Ga3GeRh4 (PBE, optimized geometry)
# - ΔE_f (eV per atom) = -0.802
data_Pr2Ga3GeRh4
_symmetry_space_group_name_H-M 'P -4 m 2'
_symmetry_Int_Tables_number 115
_cell_length_a 4.371
_cell_length_b 4.371
_cell_length_c 9.893
_cell_angle_alpha 90.00
_cell_angle_beta 90.00
_cell_angle_gamma 90.00
loop_
_symmetry_equiv_pos_as_xyz
'x,y,z'
'y,-x,-z'
'-x,-y,z'
'-y,x,-z'
'-x,y,z'
'-y,-x,-z'
'x,-y,z'
'y,x,-z'
loop_
_atom_site_label
_atom_site_type_symbol
_atom_site_fract_x
_atom_site_fract_y
_atom_site_fract_z
Pr1 Pr 0.000 0.500 0.242
Ga1 Ga 0.000 0.500 0.875
Ga2 Ga 0.500 0.500 0.500
Ge1 Ge 0.000 0.000 0.500
Rh1 Rh 0.000 0.000 0.000
Rh2 Rh 0.000 0.500 0.623
Rh3 Rh 0.500 0.500 0.000

---

Entry 7:
# PrGa2GeRh (PBE, optimized geometry)
# - ΔE_f (eV per atom) = -0.655
data_PrGa2GeRh
_symmetry_space_group_name_H-M 'I m m 2'
_symmetry_Int_Tables_number 44
_cell_length_a 4.086
_cell_length_b 4.192
_cell_length_c 11.102
_cell_angle_alpha 90.00
_cell_angle_beta 90.00
_cell_angle_gamma 90.00
loop_
_symmetry_equiv_pos_as_xyz
'x,y,z'
'-x,-y,z'
'-x,y,z'
'x,-y,z'
'x+1/2,y+1/2,z+1/2'
'-x+1/2,-y+1/2,z+1/2'
'-x+1/2,y+1/2,z+1/2'
'x+1/2,-y+1/2,z+1/2'
loop_
_atom_site_label
_atom_site_type_symbol
_atom_site_fract_x
_atom_site_fract_y
_atom_site_fract_z
Pr1 Pr 0.000 0.000 0.000
Ga1 Ga 0.000 0.000 0.381
Ga2 Ga 0.000 0.500 0.252
Ge1 Ge 0.000 0.000 0.610
Rh1 Rh 0.000 0.500 0.742

---

Entry 8:
# Pr2GaGeRh6 (PBE, optimized geometry)
# - ΔE_f (eV per atom) = -0.326
data_Pr2GaGeRh6
_symmetry_space_group_name_H-M 'I m m m'
_symmetry_Int_Tables_number 71
_symmetry_space_group_name_Hall '-I 2 2'
_cell_length_a 6.501
_cell_length_b 6.550
_cell_length_c 9.228
_cell_angle_alpha 90.00
_cell_angle_beta 90.00
_cell_angle_gamma 90.00
loop_
_atom_site_label
_atom_site_type_symbol
_atom_site_fract_x
_atom_site_fract_y
_atom_site_fract_z
Pr1 Pr 0.000 0.000 0.250
Ga1 Ga 0.000 0.500 0.000
Ge1 Ge 0.000 0.500 0.500
Rh1 Rh 0.000 0.500 0.251
Rh2 Rh 0.249 0.251 0.500

---

Entry 9:
# PrGa2GeRh2 (PBE, optimized geometry)
# - ΔE_f (eV per atom) = -0.433
data_PrGa2GeRh2
_symmetry_space_group_name_H-M 'P 4/m m m'
_symmetry_Int_Tables_number 123
_symmetry_space_group_name_Hall '-P 4 2'
_cell_length_a 4.619
_cell_length_b 4.619
_cell_length_c 5.674
_cell_angle_alpha 90.00
_cell_angle_beta 90.00
_cell_angle_gamma 90.00
loop_
_atom_site_label
_atom_site_type_symbol
_atom_site_fract_x
_atom_site_fract_y
_atom_site_fract_z
Pr1 Pr 0.000 0.000 0.000
Ga1 Ga 0.500 0.500 0.243
Ge1 Ge 0.000 0.000 0.500
Rh1 Rh 0.000 0.500 0.500

---

Entry 10:
# Pr2GaGeRh (PBE, optimized geometry)
# - ΔE_f (eV per atom) = -0.716
data_Pr2GaGeRh
_symmetry_space_group_name_H-M 'P 4/n m m'
_symmetry_Int_Tables_number 129
_cell_length_a 4.322
_cell_length_b 4.322
_cell_length_c 13.624
_cell_angle_alpha 90.00
_cell_angle_beta 90.00
_cell_angle_gamma 90.00
loop_
_symmetry_equiv_pos_as_xyz
'x,y,z'
'-x,-y,-z'
'-y+1/2,x,z'
'y+1/2,-x,-z'
'-x+1/2,-y+1/2,z'
'x+1/2,y+1/2,-z'
'y,-x+1/2,z'
'-y,x+1/2,-z'
'x+1/2,-y,-z'
'-x+1/2,y,z'
'-y,-x,-z'
'y,x,z'
'-x,y+1/2,-z'
'x,-y+1/2,z'
'y+1/2,x+1/2,-z'
'-y+1/2,-x+1/2,z'
loop_
_atom_site_label
_atom_site_type_symbol
_atom_site_fract_x
_atom_site_fract_y
_atom_site_fract_z
Pr1 Pr 0.250 0.250 0.112
Pr2 Pr 0.250 0.250 0.667
Ga1 Ga 0.250 0.250 0.402
Ge1 Ge 0.250 0.250 0.887
Rh1 Rh 0.250 0.750 0.500

---

Entry 11:
# Pr2Ga2GeRh5 (PBE, optimized geometry)
# - ΔE_f (eV per atom) = -0.682
data_Pr2Ga2GeRh5
_symmetry_space_group_name_H-M 'P 4/m b m'
_symmetry_Int_Tables_number 127
_symmetry_space_group_name_Hall '-P 4 2ab'
_cell_length_a 9.945
_cell_length_b 9.945
_cell_length_c 3.562
_cell_angle_alpha 90.00
_cell_angle_beta 90.00
_cell_angle_gamma 90.00
loop_
_atom_site_label
_atom_site_type_symbol
_atom_site_fract_x
_atom_site_fract_y
_atom_site_fract_z
Pr1 Pr 0.175 0.325 0.000
Ga1 Ga 0.123 0.623 0.000
Ge1 Ge 0.000 0.000 0.000
Rh1 Rh 0.000 0.500 0.500
Rh2 Rh 0.064 0.798 0.500

---

Entry 12:
# PrGa2GeRu2 (PBE, optimized geometry)
# - ΔE_f (eV per atom) = -0.228
data_PrGa2GeRu2
_symmetry_space_group_name_H-M 'P 4/m m m'
_symmetry_Int_Tables_number 123
_symmetry_space_group_name_Hall '-P 4 2'
_cell_length_a 4.552
_cell_length_b 4.552
_cell_length_c 5.768
_cell_angle_alpha 90.00
_cell_angle_beta 90.00
_cell_angle_gamma 90.00
loop_
_atom_site_label
_atom_site_type_symbol
_atom_site_fract_x
_atom_site_fract_y
_atom_site_fract_z
Pr1 Pr 0.000 0.000 0.000
Ga1 Ga 0.500 0.500 0.235
Ge1 Ge 0.000 0.000 0.500
Ru1 Ru 0.000 0.500 0.500

---

Entry 13:
# Pr2GaSiGe (PBE, optimized geometry)
# - raw formation energy (meV/atom) = -549.7
data_Pr2GaSiGe
_symmetry_space_group_name_H-M 'P 1 21/m 1'
_symmetry_Int_Tables_number 11
_cell_length_a 7.286
_cell_length_b 4.137
_cell_length_c 8.965
_cell_angle_alpha 90.00
_cell_angle_beta 107.78
_cell_angle_gamma 90.00
loop_
_symmetry_equiv_pos_as_xyz
'x,y,z'
'-x,-y,-z'
'-x,y+1/2,-z'
'x,-y+1/2,z'
loop_
_atom_site_label
_atom_site_type_symbol
_atom_site_fract_x
_atom_site_fract_y
_atom_site_fract_z
Pr1 Pr 0.185 0.250 0.417
Pr2 Pr 0.258 0.250 0.966
Ga1 Ga 0.491 0.750 0.267
Si1 Si 0.299 0.750 0.704
Ge1 Ge 0.148 0.750 0.172

---

Entry 14:
# TbPrGaGe (PBE, optimized geometry)
# - relative energy among the computed polymorphs (meV per atom) = 0
# - ΔE_f (eV per atom) = -0.761
data_TbPrGaGe
_symmetry_space_group_name_H-M 'A m m 2'
_symmetry_Int_Tables_number 38
_cell_length_a 4.076
_cell_length_b 4.423
_cell_length_c 11.133
_cell_angle_alpha 90.00
_cell_angle_beta 90.00
_cell_angle_gamma 90.00
loop_
_symmetry_equiv_pos_as_xyz
'x,y,z'
'-x,-y,z'
'-x,y,z'
'x,-y,z'
'x,y+1/2,z+1/2'
'-x,-y+1/2,z+1/2'
'-x,y+1/2,z+1/2'
'x,-y+1/2,z+1/2'
loop_
_atom_site_label
_atom_site_type_symbol
_atom_site_fract_x
_atom_site_fract_y
_atom_site_fract_z
Tb1 Tb 0.000 0.000 0.000
Pr1 Pr 0.500 0.000 0.720
Ga1 Ga 0.000 0.000 0.288
Ge1 Ge 0.500 0.000 0.440

---

Entry 15:
# TbPrGaGe (PBE, optimized geometry)
# - relative energy among the computed polymorphs (meV per atom) = 197
# - ΔE_f (eV per atom) = -0.564
data_TbPrGaGe
_symmetry_space_group_name_H-M 'F -4 3 m'
_symmetry_Int_Tables_number 216
_symmetry_space_group_name_Hall 'F -4 2 3'
_cell_length_a 7.317
_cell_length_b 7.317
_cell_length_c 7.317
_cell_angle_alpha 90.00
_cell_angle_beta 90.00
_cell_angle_gamma 90.00
loop_
_atom_site_label
_atom_site_type_symbol
_atom_site_fract_x
_atom_site_fract_y
_atom_site_fract_z
Tb1 Tb 0.000 0.000 0.000
Pr1 Pr 0.000 0.000 0.500
Ga1 Ga 0.250 0.250 0.750
Ge1 Ge 0.250 0.250 0.250

---

Entry 16:
# PrGa2Tc2Ge (PBE, optimized geometry)
# - ΔE_f (eV per atom) = -0.129
data_PrGa2Tc2Ge
_symmetry_space_group_name_H-M 'P 4/m m m'
_symmetry_Int_Tables_number 123
_symmetry_space_group_name_Hall '-P 4 2'
_cell_length_a 4.617
_cell_length_b 4.617
_cell_length_c 5.713
_cell_angle_alpha 90.00
_cell_angle_beta 90.00
_cell_angle_gamma 90.00
loop_
_atom_site_label
_atom_site_type_symbol
_atom_site_fract_x
_atom_site_fract_y
_atom_site_fract_z
Pr1 Pr 0.000 0.000 0.000
Ga1 Ga 0.500 0.500 0.244
Tc1 Tc 0.000 0.500 0.500
Ge1 Ge 0.000 0.000 0.500

---

Entry 17:
# PrGaTcGe2 (PBE, optimized geometry)
# - ΔE_f (eV per atom) = -0.449
data_PrGaTcGe2
_symmetry_space_group_name_H-M 'P m m a'
_symmetry_Int_Tables_number 51
_cell_length_a 5.756
_cell_length_b 5.782
_cell_length_c 5.893
_cell_angle_alpha 90.00
_cell_angle_beta 90.00
_cell_angle_gamma 90.00
loop_
_symmetry_equiv_pos_as_xyz
'x,y,z'
'-x,-y,-z'
'-x+1/2,-y,z'
'x+1/2,y,-z'
'x+1/2,-y,-z'
'-x+1/2,y,z'
'-x,y,-z'
'x,-y,z'
loop_
_atom_site_label
_atom_site_type_symbol
_atom_site_fract_x
_atom_site_fract_y
_atom_site_fract_z
Pr1 Pr 0.250 0.000 0.224
Ga1 Ga 0.250 0.500 0.370
Tc1 Tc 0.000 0.500 0.000
Ge1 Ge 0.250 0.238 0.735

---

Entry 18:
# PrThGaGe (PBE, optimized geometry)
# - ΔE_f (eV per atom) = -0.680
data_PrThGaGe
_symmetry_space_group_name_H-M 'A m m 2'
_symmetry_Int_Tables_number 38
_cell_length_a 4.132
_cell_length_b 4.462
_cell_length_c 11.310
_cell_angle_alpha 90.00
_cell_angle_beta 90.00
_cell_angle_gamma 90.00
loop_
_symmetry_equiv_pos_as_xyz
'x,y,z'
'-x,-y,z'
'-x,y,z'
'x,-y,z'
'x,y+1/2,z+1/2'
'-x,-y+1/2,z+1/2'
'-x,y+1/2,z+1/2'
'x,-y+1/2,z+1/2'
loop_
_atom_site_label
_atom_site_type_symbol
_atom_site_fract_x
_atom_site_fract_y
_atom_site_fract_z
Pr1 Pr 0.000 0.000 0.000
Th1 Th 0.500 0.000 0.281
Ga1 Ga 0.500 0.000 0.563
Ge1 Ge 0.000 0.000 0.719

---

Entry 19:
# PrTmGaGe (PBE, optimized geometry)
# - relative energy among the computed polymorphs (meV per atom) = 195
# - ΔE_f (eV per atom) = -0.544
data_PrTmGaGe
_symmetry_space_group_name_H-M 'F -4 3 m'
_symmetry_Int_Tables_number 216
_symmetry_space_group_name_Hall 'F -4 2 3'
_cell_length_a 7.262
_cell_length_b 7.262
_cell_length_c 7.262
_cell_angle_alpha 90.00
_cell_angle_beta 90.00
_cell_angle_gamma 90.00
loop_
_atom_site_label
_atom_site_type_symbol
_atom_site_fract_x
_atom_site_fract_y
_atom_site_fract_z
Pr1 Pr 0.000 0.000 0.000
Tm1 Tm 0.000 0.000 0.500
Ga1 Ga 0.250 0.250 0.250
Ge1 Ge 0.250 0.250 0.750

---

Entry 20:
# PrTmGaGe (PBE, optimized geometry)
# - relative energy among the computed polymorphs (meV per atom) = 0
# - ΔE_f (eV per atom) = -0.740
data_PrTmGaGe
_symmetry_space_group_name_H-M 'A m m 2'
_symmetry_Int_Tables_number 38
_cell_length_a 4.051
_cell_length_b 4.387
_cell_length_c 11.016
_cell_angle_alpha 90.00
_cell_angle_beta 90.00
_cell_angle_gamma 90.00
loop_
_symmetry_equiv_pos_as_xyz
'x,y,z'
'-x,-y,z'
'-x,y,z'
'x,-y,z'
'x,y+1/2,z+1/2'
'-x,-y+1/2,z+1/2'
'-x,y+1/2,z+1/2'
'x,-y+1/2,z+1/2'
loop_
_atom_site_label
_atom_site_type_symbol
_atom_site_fract_x
_atom_site_fract_y
_atom_site_fract_z
Pr1 Pr 0.000 0.000 0.000
Tm1 Tm 0.500 0.000 0.279
Ga1 Ga 0.500 0.000 0.567
Ge1 Ge 0.000 0.000 0.722